Entry 1:
DFT (PBE) results for BeGaF after structural relaxation.

```
6
Lattice="14.052 0.000 0.000 0.000 1.388 2.195 0.000 -1.388 2.195" Properties=species:S:1:pos:R:3 pbc="T T T"
Be 0.000 0.000 0.000
Be 7.026 0.000 0.779
Ga 2.113 0.000 1.375
Ga 11.939 0.000 1.375
F 5.960 0.000 3.915
F 8.092 0.000 3.915
```

raw total energy = -3.958 eV/atom
SG = Amm2, No. 38
ρ = 3790 kg/m³



Entry 2:
DFT (PBE) results for Cr2SiC2 after structural relaxation.

```
10
Lattice="5.996 0.000 0.000 0.000 5.996 0.000 0.000 0.000 2.624" Properties=species:S:1:pos:R:3 pbc="T T T"
Cr 0.863 2.135 0.000
Cr 2.135 5.132 0.000
Cr 3.861 0.863 0.000
Cr 5.132 3.861 0.000
Si 0.000 0.000 0.000
Si 2.998 2.998 0.000
C 0.843 3.841 1.312
C 2.154 0.843 1.312
C 3.841 5.152 1.312
C 5.152 2.154 1.312
```

raw total energy = -7.852 eV/atom
SG = P4/mbm, No. 127
ρ = 5496 kg/m³



Entry 3:
DFT (PBE) results for TiNb4Sb after structural relaxation.

```
6
Lattice="4.985 -1.756 0.000 4.985 1.756 0.000 -2.066 0.000 6.388" Properties=species:S:1:pos:R:3 pbc="T T T"
Ti 0.000 0.000 0.000
Nb 1.815 0.000 4.294
Nb 2.991 0.000 1.037
Nb 4.913 0.000 5.351
Nb 6.090 0.000 2.094
Sb -1.033 0.000 3.194
```

raw total energy = -8.803 eV/atom
SG = C2/m, No. 12
ρ = 8036 kg/m³